(1)
This record from Alexandria via LeMat-Bulk describes Pa2FePbN5 after structural relaxation. The functional is PBE-GGA.

```
data_Pa2FePbN5
_symmetry_space_group_name_H-M 'P 1'
_symmetry_Int_Tables_number 1
_cell_length_a 7.3106
_cell_length_b 7.3106
_cell_length_c 7.3106
_cell_angle_alpha 125.87
_cell_angle_beta 125.87
_cell_angle_gamma 80.10
loop_
_symmetry_equiv_pos_as_xyz
'x,y,z'
loop_
_atom_site_label
_atom_site_type_symbol
_atom_site_fract_x
_atom_site_fract_y
_atom_site_fract_z
_atom_site_occupancy
Pa1 Pa 0.1840 0.6840 0.8679 1
Pa2 Pa 0.3160 0.1840 0.5000 1
Pa3 Pa 0.6840 0.8160 0.5000 1
Pa4 Pa 0.8160 0.3160 0.1321 1
Fe1 Fe 0.2500 0.7500 0.5000 1
Fe2 Fe 0.7500 0.2500 0.5000 1
Pb1 Pb 0.2500 0.2500 0.0000 1
Pb2 Pb 0.7500 0.7500 0.0000 1
N1 N 0.0000 0.0000 0.0000 1
N2 N 0.0038 0.2351 0.5000 1
N3 N 0.2351 0.7351 0.2313 1
N4 N 0.2649 0.4962 0.5000 1
N5 N 0.4962 0.9962 0.2313 1
N6 N 0.5000 0.5000 0.0000 1
N7 N 0.5038 0.0038 0.7687 1
N8 N 0.7351 0.5038 0.5000 1
N9 N 0.7649 0.2649 0.7687 1
N10 N 0.9962 0.7649 0.5000 1
```

Properties
Energy relative to the elements, uncorrected: -0.712 eV per atom
Density: 10.7 Mg/m³
Energy: -8.799 eV per atom

***

(2)
This record from Alexandria via LeMat-Bulk describes KSr8Ca2 after structural relaxation. The functional is PBE-GGA.

```
data_KSr8Ca2
_symmetry_space_group_name_H-M 'P 1'
_symmetry_Int_Tables_number 1
_cell_length_a 5.9742
_cell_length_b 9.4688
_cell_length_c 11.1466
_cell_angle_alpha 105.19
_cell_angle_beta 105.49
_cell_angle_gamma 90.02
loop_
_symmetry_equiv_pos_as_xyz
'x,y,z'
loop_
_atom_site_label
_atom_site_type_symbol
_atom_site_fract_x
_atom_site_fract_y
_atom_site_fract_z
_atom_site_occupancy
K1 K 0.0000 0.0000 0.0000 1
Sr1 Sr 0.0962 0.4621 0.1924 1
Sr2 Sr 0.1851 0.9126 0.3701 1
Sr3 Sr 0.3576 0.8032 0.7153 1
Sr4 Sr 0.4513 0.2763 0.9027 1
Sr5 Sr 0.5487 0.7237 0.0973 1
Sr6 Sr 0.6424 0.1968 0.2847 1
Sr7 Sr 0.8149 0.0874 0.6299 1
Sr8 Sr 0.9038 0.5379 0.8076 1
Ca1 Ca 0.2726 0.3660 0.5451 1
Ca2 Ca 0.7274 0.6340 0.4549 1
```

Properties
Formation enthalpy at 0 K: 4.07 kJ per mole of atoms
Density: 2.3 Mg/m³
Energy: -1.645 eV per atom

***

(3)
This record from Alexandria via LeMat-Bulk describes Pm3Sm2Y3 after structural relaxation. The functional is PBE-GGA.

```
data_Pm3Sm2Y3
_symmetry_space_group_name_H-M 'P 1'
_symmetry_Int_Tables_number 1
_cell_length_a 8.6559
_cell_length_b 8.6559
_cell_length_c 6.0692
_cell_angle_alpha 109.22
_cell_angle_beta 109.22
_cell_angle_gamma 39.31
loop_
_symmetry_equiv_pos_as_xyz
'x,y,z'
loop_
_atom_site_label
_atom_site_type_symbol
_atom_site_fract_x
_atom_site_fract_y
_atom_site_fract_z
_atom_site_occupancy
Pm1 Pm 0.0000 0.0000 0.0000 1
Pm2 Pm 0.1330 0.1330 0.6905 1
Pm3 Pm 0.8670 0.8670 0.3095 1
Sm1 Sm 0.2494 0.2494 0.3164 1
Sm2 Sm 0.7506 0.7506 0.6836 1
Y1 Y 0.3691 0.3691 0.9188 1
Y2 Y 0.5000 0.5000 0.5000 1
Y3 Y 0.6309 0.6309 0.0812 1
```

Properties
Formation enthalpy at 0 K: 8.36 kJ per mole of atoms
Density: 6.2 Mg/m³
Energy: -5.299 eV per atom

***

(4)
This record from Alexandria via LeMat-Bulk describes NdPuTeSe after structural relaxation. The functional is PBE-GGA.

```
data_NdPuTeSe
_symmetry_space_group_name_H-M 'P 1'
_symmetry_Int_Tables_number 1
_cell_length_a 7.5983
_cell_length_b 7.5983
_cell_length_c 7.5983
_cell_angle_alpha 32.79
_cell_angle_beta 32.79
_cell_angle_gamma 32.79
loop_
_symmetry_equiv_pos_as_xyz
'x,y,z'
loop_
_atom_site_label
_atom_site_type_symbol
_atom_site_fract_x
_atom_site_fract_y
_atom_site_fract_z
_atom_site_occupancy
Nd1 Nd 0.0000 0.0000 0.0000 1
Pu1 Pu 0.4846 0.4846 0.4846 1
Te1 Te 0.2405 0.2405 0.2405 1
Se1 Se 0.7449 0.7449 0.7449 1
```

Properties
Energy relative to the elements, uncorrected: -1.482 eV per atom
Density: 8.6 Mg/m³
Distance to the lowest polymorph of the same formula: 0 meV/atom
Energy: -7.913 eV per atom

***

(5)
This record from Alexandria via LeMat-Bulk describes TbPuBi after structural relaxation. The functional is PBE-GGA.

```
data_TbPuBi
_symmetry_space_group_name_H-M 'P 1'
_symmetry_Int_Tables_number 1
_cell_length_a 3.5538
_cell_length_b 12.5743
_cell_length_c 8.1755
_cell_angle_alpha 90.00
_cell_angle_beta 90.00
_cell_angle_gamma 90.00
loop_
_symmetry_equiv_pos_as_xyz
'x,y,z'
loop_
_atom_site_label
_atom_site_type_symbol
_atom_site_fract_x
_atom_site_fract_y
_atom_site_fract_z
_atom_site_occupancy
Tb1 Tb 0.0000 0.1942 0.0000 1
Tb2 Tb 0.0000 0.3061 0.3814 1
Tb3 Tb 0.0000 0.6939 0.8814 1
Tb4 Tb 0.0000 0.8058 0.5000 1
Pu1 Pu 0.0000 0.0396 0.3384 1
Pu2 Pu 0.0000 0.4025 0.7530 1
Pu3 Pu 0.0000 0.5975 0.2530 1
Pu4 Pu 0.0000 0.9604 0.8384 1
Bi1 Bi 0.5000 0.1673 0.6526 1
Bi2 Bi 0.5000 0.4129 0.0840 1
Bi3 Bi 0.5000 0.5871 0.5840 1
Bi4 Bi 0.5000 0.8327 0.1526 1
```

Properties
Formation enthalpy at 0 K: -10.21 kJ per mole of atoms
Density: 11.1 Mg/m³
Energy: -7.720 eV per atom

***

(6)
This record from Alexandria via LeMat-Bulk describes Li2N after structural relaxation. The functional is PBE-GGA.

```
data_Li2N
_symmetry_space_group_name_H-M 'P 1'
_symmetry_Int_Tables_number 1
_cell_length_a 3.4448
_cell_length_b 3.4448
_cell_length_c 3.4448
_cell_angle_alpha 120.10
_cell_angle_beta 120.10
_cell_angle_gamma 89.83
loop_
_symmetry_equiv_pos_as_xyz
'x,y,z'
loop_
_atom_site_label
_atom_site_type_symbol
_atom_site_fract_x
_atom_site_fract_y
_atom_site_fract_z
_atom_site_occupancy
Li1 Li 0.2500 0.7500 0.5000 1
Li2 Li 0.7500 0.2500 0.5000 1
N1 N 0.0000 0.0000 0.0000 1
```

Properties
Energy relative to the elements, uncorrected: -0.065 eV per atom
Density: 1.6 Mg/m³
Energy: -4.116 eV per atom